[1]
Material: La2Sm3Er6
Method: DFT, GGA-PBE
State: optimized geometry

Its total DFT energy (no corrections) is -48.53 eV/f.u. The calculation puts the energy relative to the lowest polymorph listed for this composition at 0.077 eV/atom. The calculation puts the density of states at the Fermi level at 35.062 states/eV per cell. The calculation puts the volume at 34.470 A^3/atom. Its formation energy is 275 kJ/mol of formula units.

```
data_La2Sm3Er6
_symmetry_space_group_name_H-M 'I 4/m m m'
_symmetry_Int_Tables_number 139
_symmetry_space_group_name_Hall '-I 4 2'
_cell_length_a 4.7712
_cell_length_b 4.7712
_cell_length_c 33.3121
_cell_angle_alpha 90.00
_cell_angle_beta 90.00
_cell_angle_gamma 90.00
loop_
_atom_site_label
_atom_site_type_symbol
_atom_site_fract_x
_atom_site_fract_y
_atom_site_fract_z
La1 La 0.0000 0.0000 0.0462
Sm1 Sm 0.0000 0.0000 0.2960
Sm2 Sm 0.0000 0.0000 0.5000
Er1 Er 0.0000 0.0000 0.1931
Er2 Er 0.0000 0.5000 0.1226
```


[2]
Material: Li3Cd2Ga4
Method: DFT, GGA-PBE
State: optimized geometry

Its total DFT energy (no corrections) is -21.53 eV/f.u. The calculation puts the density of states at the Fermi level at 5.372 states/eV per cell. The calculation puts the volume at 18.678 A^3/atom. Its formation energy is -179 kJ/mol of formula units.

```
data_Li3Cd2Ga4
_symmetry_space_group_name_H-M 'C 1 2/m 1'
_symmetry_Int_Tables_number 12
_symmetry_space_group_name_Hall '-C 2y'
_cell_length_a 10.3874
_cell_length_b 4.4987
_cell_length_c 8.4182
_cell_angle_alpha 90.00
_cell_angle_beta 121.28
_cell_angle_gamma 90.00
loop_
_atom_site_label
_atom_site_type_symbol
_atom_site_fract_x
_atom_site_fract_y
_atom_site_fract_z
Li1 Li 0.0000 0.0000 0.0000
Li2 Li 0.1581 0.5000 0.6697
Cd1 Cd 0.1344 0.5000 0.3001
Ga1 Ga 0.0322 0.0000 0.3740
Ga2 Ga 0.2461 0.5000 0.0732
```


[3]
Material: KB2Ru2
Method: DFT, GGA-PBE
State: optimized geometry

Its total DFT energy (no corrections) is -33.05 eV/f.u. The calculation puts the energy relative to the lowest polymorph listed for this composition at 0.000 eV/atom. The calculation puts the density of states at the Fermi level at 9.299 states/eV per cell. The calculation puts the volume at 18.764 A^3/atom. Its formation energy is -5 kJ/mol of formula units.

```
data_KB2Ru2
_symmetry_space_group_name_H-M 'I 4/m m m'
_symmetry_Int_Tables_number 139
_symmetry_space_group_name_Hall '-I 4 2'
_cell_length_a 3.9592
_cell_length_b 3.9592
_cell_length_c 11.9703
_cell_angle_alpha 90.00
_cell_angle_beta 90.00
_cell_angle_gamma 90.00
loop_
_atom_site_label
_atom_site_type_symbol
_atom_site_fract_x
_atom_site_fract_y
_atom_site_fract_z
K1 K 0.0000 0.0000 0.0000
B1 B 0.0000 0.0000 0.3043
Ru1 Ru 0.0000 0.5000 0.2500
```


[4]
Material: SnPb5Br12
Method: DFT, GGA-PBE
State: optimized geometry

Its total DFT energy (no corrections) is -58.59 eV/f.u. As for the formation energy from raw total energies: -0.887 eV per atom. The calculation puts the density of states at the Fermi level at 0.000 states/eV per cell. The calculation puts the volume at 40.100 A^3/atom.

```
data_SnPb5Br12
_symmetry_space_group_name_H-M 'C 1 2/m 1'
_symmetry_Int_Tables_number 12
_symmetry_space_group_name_Hall '-C 2y'
_cell_length_a 7.7188
_cell_length_b 13.4365
_cell_length_c 13.9190
_cell_angle_alpha 90.00
_cell_angle_beta 90.11
_cell_angle_gamma 90.00
loop_
_atom_site_label
_atom_site_type_symbol
_atom_site_fract_x
_atom_site_fract_y
_atom_site_fract_z
Sn1 Sn 0.0000 0.0000 0.0000
Pb1 Pb 0.0000 0.1666 0.5000
Pb2 Pb 0.0000 0.3333 0.0000
Pb3 Pb 0.0000 0.5000 0.5000
Br1 Br 0.1641 0.1645 0.1188
Br2 Br 0.1659 0.0000 0.3797
Br3 Br 0.1658 0.3333 0.3796
Br4 Br 0.1709 0.5000 0.1188
```


[5]
Material: KTl9In2
Method: DFT, GGA-PBE
State: optimized geometry

Its total DFT energy (no corrections) is -28.12 eV/f.u. The calculation puts the density of states at the Fermi level at 7.089 states/eV per cell. The calculation puts the volume at 31.086 A^3/atom. Its formation energy is -25 kJ/mol of formula units.

```
data_KTl9In2
_symmetry_space_group_name_H-M 'P 6/m m m'
_symmetry_Int_Tables_number 191
_symmetry_space_group_name_Hall '-P 6 2'
_cell_length_a 11.1819
_cell_length_b 11.1819
_cell_length_c 3.4449
_cell_angle_alpha 90.00
_cell_angle_beta 90.00
_cell_angle_gamma 120.00
loop_
_atom_site_label
_atom_site_type_symbol
_atom_site_fract_x
_atom_site_fract_y
_atom_site_fract_z
K1 K 0.0000 0.0000 0.0000
Tl1 Tl 0.0000 0.5000 0.0000
Tl2 Tl 0.1809 0.3619 0.5000
In1 In 0.3333 0.6667 0.0000
```


[6]
Material: PmGdDyHo
Method: DFT, GGA-PBE
State: optimized geometry

Its total DFT energy (no corrections) is -27.55 eV/f.u. The calculation puts the density of states at the Fermi level at 34.761 states/eV per cell. The calculation puts the volume at 32.639 A^3/atom. Its formation energy is 45 kJ/mol of formula units.

```
data_PmGdDyHo
_symmetry_space_group_name_H-M 'F -4 3 m'
_symmetry_Int_Tables_number 216
_symmetry_space_group_name_Hall 'F -4 2 3'
_cell_length_a 8.0529
_cell_length_b 8.0529
_cell_length_c 8.0529
_cell_angle_alpha 90.00
_cell_angle_beta 90.00
_cell_angle_gamma 90.00
loop_
_atom_site_label
_atom_site_type_symbol
_atom_site_fract_x
_atom_site_fract_y
_atom_site_fract_z
Pm1 Pm 0.0000 0.0000 0.0000
Gd1 Gd 0.0000 0.0000 0.5000
Dy1 Dy 0.2500 0.2500 0.7500
Ho1 Ho 0.2500 0.2500 0.2500
```